Entry 1:
The following is a PBE calculation of a relaxed SmPuGaAg crystal, from the Alexandria database. Values from VASP.

- calculated total energy (eV per atom) = -6.4433
- space-group type = F-43m (216)
- total magnetic moment (μB per cell) = 5.89
- energy relative to the elements (meV/atom) = -211

Quantum ESPRESSO input file:
```
&SYSTEM
  ibrav = 0, nat = 4, ntyp = 4
/
ATOMIC_SPECIES
Ga 69.72 Ga.upf
Ag 107.87 Ag.upf
Sm 150.36 Sm.upf
Pu 244.00 Pu.upf
CELL_PARAMETERS angstrom
5.1852 0.0000 0.0000
2.5926 4.4905 0.0000
2.5926 1.4968 4.2337
ATOMIC_POSITIONS crystal
Ga 0.0000 0.0000 0.0000
Ag 0.5000 0.5000 0.5000
Sm 0.2500 0.2500 0.2500
Pu 0.7500 0.7500 0.7500
```

=====

Entry 2:
The following is a PBE calculation of a relaxed MgZr2PaN4 crystal, from the Alexandria database. Values from VASP.

- calculated total energy (eV per atom) = -9.1723
- formation energy without anion corrections (kJ/mol of formula units) = -1147.3
- space-group type = P2/m (10)
- total magnetic moment (μB per cell) = 0.00

Quantum ESPRESSO input file:
```
&SYSTEM
  ibrav = 0, nat = 8, ntyp = 4
/
ATOMIC_SPECIES
Mg 24.30 Mg.upf
Zr 91.22 Zr.upf
Pa 231.04 Pa.upf
N 14.01 N.upf
CELL_PARAMETERS angstrom
-2.9551 1.1602 -0.9355
1.4669 -0.7346 -5.5448
-1.5367 -5.1966 -1.5905
ATOMIC_POSITIONS crystal
Mg 0.5000 0.5000 0.0000
Zr 0.0000 0.0000 0.0000
Zr 0.5000 0.0000 0.5000
Pa 0.0000 0.5000 0.5000
N 0.0000 0.7519 0.7468
N 0.0000 0.2481 0.2531
N 0.5000 0.7545 0.2395
N 0.5000 0.2455 0.7605
```

=====

Entry 3:
The following is a PBE calculation of a relaxed KCoPt2 crystal, from the Alexandria database. Values from VASP.

- calculated total energy (eV per atom) = -4.9667
- E above lowest polymorph (meV/atom) = 0
- space-group type = P4/mmm (123)
- total magnetic moment (μB per cell) = 2.51
- energy relative to the elements (meV/atom) = 105

Quantum ESPRESSO input file:
```
&SYSTEM
  ibrav = 0, nat = 4, ntyp = 3
/
ATOMIC_SPECIES
Co 58.93 Co.upf
K 39.10 K.upf
Pt 195.08 Pt.upf
CELL_PARAMETERS angstrom
2.8616 0.0091 0.0000
-0.0089 2.8616 0.0000
0.0000 0.0000 8.6276
ATOMIC_POSITIONS crystal
Co 0.5000 0.5000 0.2500
K 0.5000 0.5000 0.7500
Pt 0.0000 0.0000 0.0592
Pt 0.0000 0.0000 0.4408
```

=====

Entry 4:
The following is a PBE calculation of a relaxed CrAs2Au crystal, from the Alexandria database. Values from VASP.

- calculated total energy (eV per atom) = -5.2654
- E above lowest polymorph (meV/atom) = 190
- space-group type = I4/mmm (139)
- total magnetic moment (μB per cell) = 3.60
- energy relative to the elements (meV/atom) = 285

Quantum ESPRESSO input file:
```
&SYSTEM
  ibrav = 0, nat = 4, ntyp = 3
/
ATOMIC_SPECIES
As 74.92 As.upf
Au 196.97 Au.upf
Cr 52.00 Cr.upf
CELL_PARAMETERS angstrom
4.8708 -0.0001 0.0000
0.9966 4.7678 0.0000
-2.9337 -2.3838 3.0718
ATOMIC_POSITIONS crystal
As 0.0000 0.0000 0.0000
As 0.5000 0.5000 0.0000
Au 0.2500 0.7500 0.5000
Cr 0.7500 0.2500 0.5000
```